# ZrNbVIr

An optimized crystal structure of ZrNbVIr (GGA-PBE, the Alexandria database).

The space group is F-43m (No. 216) and the conventional cell measures 6.459, 6.459 and 6.459 Å, with angles of 90.00, 90.00 and 90.00 degrees. The asymmetric unit holds Zr at (0.000, 0.000, 0.000), Nb at (0.000, 0.000, 0.500), V at (0.250, 0.250, 0.750) and Ir at (0.250, 0.250, 0.250).

The value obtained for the density of states at the Fermi level is 3.10 states/eV/f.u. Its spin magnetization is 0.0 μB per cell. The calculation puts the formation enthalpy at 0 K at -33.0 kJ per mole of atoms.